# 1
# Ce2Zr2O7 PBE relaxed
data_Ce2Zr2O7
_symmetry_space_group_name_H-M 'P 1'
_symmetry_Int_Tables_number 1
_symmetry_space_group_name_Hall 'P 1'
_cell_length_a 7.632
_cell_length_b 7.632
_cell_length_c 7.632
_cell_angle_alpha 60.00
_cell_angle_beta 60.00
_cell_angle_gamma 60.00
loop_
_atom_site_label
_atom_site_type_symbol
_atom_site_fract_x
_atom_site_fract_y
_atom_site_fract_z
Ce1 Ce 0.000 0.000 0.000
Ce2 Ce 0.000 0.000 0.500
Ce3 Ce 0.000 0.500 0.000
Ce4 Ce 0.500 0.000 0.000
Zr1 Zr 0.000 0.500 0.500
Zr2 Zr 0.500 0.000 0.500
Zr3 Zr 0.500 0.500 0.000
Zr4 Zr 0.500 0.500 0.500
O1 O 0.125 0.125 0.125
O2 O 0.164 0.164 0.586
O3 O 0.164 0.586 0.164
O4 O 0.164 0.586 0.586
O5 O 0.414 0.414 0.836
O6 O 0.414 0.836 0.414
O7 O 0.414 0.836 0.836
O8 O 0.586 0.164 0.164
O9 O 0.586 0.164 0.586
O10 O 0.586 0.586 0.164
O11 O 0.836 0.414 0.414
O12 O 0.836 0.414 0.836
O13 O 0.836 0.836 0.414
O14 O 0.875 0.875 0.875
# Formation energy without anion corrections in eV per atom: -3.364



# 2
# Ti3PtO PBE relaxed
data_Ti3PtO
_symmetry_space_group_name_H-M 'P 1'
_symmetry_Int_Tables_number 1
_symmetry_space_group_name_Hall 'P 1'
_cell_length_a 10.567
_cell_length_b 10.567
_cell_length_c 10.567
_cell_angle_alpha 156.59
_cell_angle_beta 156.59
_cell_angle_gamma 33.34
loop_
_atom_site_label
_atom_site_type_symbol
_atom_site_fract_x
_atom_site_fract_y
_atom_site_fract_z
Ti1 Ti 0.188 0.188 0.000
Ti2 Ti 0.364 0.614 0.749
Ti3 Ti 0.386 0.135 0.749
Ti4 Ti 0.386 0.636 0.251
Ti5 Ti 0.812 0.812 0.000
Ti6 Ti 0.865 0.614 0.251
Pt1 Pt 0.250 0.750 0.500
Pt2 Pt 0.500 0.500 0.000
O1 O 0.651 0.151 0.500
O2 O 0.849 0.349 0.500
# Formation energy without anion corrections in eV per atom: -0.141



# 3
# La5Os2I2 PBE relaxed
data_La5Os2I2
_symmetry_space_group_name_H-M 'P 1'
_symmetry_Int_Tables_number 1
_symmetry_space_group_name_Hall 'P 1'
_cell_length_a 9.468
_cell_length_b 9.468
_cell_length_c 8.215
_cell_angle_alpha 90.00
_cell_angle_beta 90.00
_cell_angle_gamma 50.98
loop_
_atom_site_label
_atom_site_type_symbol
_atom_site_fract_x
_atom_site_fract_y
_atom_site_fract_z
La1 La 0.000 0.000 0.000
La2 La 0.051 0.738 0.657
La3 La 0.238 0.551 0.157
La4 La 0.262 0.949 0.657
La5 La 0.449 0.762 0.157
La6 La 0.500 0.500 0.500
La7 La 0.551 0.238 0.843
La8 La 0.738 0.051 0.343
La9 La 0.762 0.449 0.843
La10 La 0.949 0.262 0.343
Os1 Os 0.143 0.857 0.359
Os2 Os 0.357 0.643 0.859
Os3 Os 0.643 0.357 0.141
Os4 Os 0.857 0.143 0.641
I1 I 0.209 0.209 0.000
I2 I 0.291 0.291 0.500
I3 I 0.709 0.709 0.500
I4 I 0.791 0.791 0.000
# Formation energy without anion corrections in eV per atom: -0.589



# 4
# CuAsPb2 PBE relaxed
data_CuAsPb2
_symmetry_space_group_name_H-M 'P 1'
_symmetry_Int_Tables_number 1
_symmetry_space_group_name_Hall 'P 1'
_cell_length_a 4.325
_cell_length_b 4.097
_cell_length_c 5.883
_cell_angle_alpha 90.00
_cell_angle_beta 111.13
_cell_angle_gamma 90.00
loop_
_atom_site_label
_atom_site_type_symbol
_atom_site_fract_x
_atom_site_fract_y
_atom_site_fract_z
Cu1 Cu 0.000 0.000 0.000
As1 As 0.132 0.500 0.264
Pb1 Pb 0.423 0.500 0.841
Pb2 Pb 0.726 0.000 0.448
# Formation energy in eV per atom: 0.07



# 5
# Pr8GeSe4S3 PBE relaxed
data_Pr8GeSe4S3
_symmetry_space_group_name_H-M 'P 1'
_symmetry_Int_Tables_number 1
_symmetry_space_group_name_Hall 'P 1'
_cell_length_a 8.507
_cell_length_b 8.507
_cell_length_c 8.507
_cell_angle_alpha 59.06
_cell_angle_beta 59.06
_cell_angle_gamma 59.06
loop_
_atom_site_label
_atom_site_type_symbol
_atom_site_fract_x
_atom_site_fract_y
_atom_site_fract_z
Pr1 Pr 0.242 0.745 0.745
Pr2 Pr 0.243 0.243 0.243
Pr3 Pr 0.255 0.255 0.758
Pr4 Pr 0.255 0.758 0.255
Pr5 Pr 0.745 0.242 0.745
Pr6 Pr 0.745 0.745 0.242
Pr7 Pr 0.757 0.757 0.757
Pr8 Pr 0.758 0.255 0.255
Ge1 Ge 0.500 0.500 0.500
Se1 Se 0.000 0.000 0.000
Se2 Se 0.000 0.500 0.500
Se3 Se 0.500 0.000 0.500
Se4 Se 0.500 0.500 0.000
S1 S 0.000 0.000 0.500
S2 S 0.000 0.500 0.000
S3 S 0.500 0.000 0.000
# Formation energy without anion corrections in eV per atom: -1.821



# 6
# Pr8AsS3Br4 PBE relaxed
data_Pr8AsS3Br4
_symmetry_space_group_name_H-M 'P 1'
_symmetry_Int_Tables_number 1
_symmetry_space_group_name_Hall 'P 1'
_cell_length_a 8.973
_cell_length_b 8.973
_cell_length_c 8.973
_cell_angle_alpha 54.29
_cell_angle_beta 54.29
_cell_angle_gamma 54.29
loop_
_atom_site_label
_atom_site_type_symbol
_atom_site_fract_x
_atom_site_fract_y
_atom_site_fract_z
Pr1 Pr 0.222 0.741 0.741
Pr2 Pr 0.233 0.233 0.233
Pr3 Pr 0.259 0.259 0.778
Pr4 Pr 0.259 0.778 0.259
Pr5 Pr 0.741 0.222 0.741
Pr6 Pr 0.741 0.741 0.222
Pr7 Pr 0.767 0.767 0.767
Pr8 Pr 0.778 0.259 0.259
As1 As 0.500 0.500 0.500
S1 S 0.000 0.000 0.500
S2 S 0.000 0.500 0.000
S3 S 0.500 0.000 0.000
Br1 Br 0.000 0.000 0.000
Br2 Br 0.000 0.500 0.500
Br3 Br 0.500 0.000 0.500
Br4 Br 0.500 0.500 0.000
# Formation energy without anion corrections in eV per atom: -1.566



# 7
# SmRh PBE relaxed
data_SmRh
_symmetry_space_group_name_H-M 'P 1'
_symmetry_Int_Tables_number 1
_symmetry_space_group_name_Hall 'P 1'
_cell_length_a 4.053
_cell_length_b 4.053
_cell_length_c 4.053
_cell_angle_alpha 60.00
_cell_angle_beta 60.00
_cell_angle_gamma 60.00
loop_
_atom_site_label
_atom_site_type_symbol
_atom_site_fract_x
_atom_site_fract_y
_atom_site_fract_z
Sm1 Sm 0.000 0.000 0.000
Rh1 Rh 0.500 0.500 0.500
# Formation energy in eV per atom: -0.54



# 8
# MgCd2GaHg2 PBE relaxed
data_MgCd2GaHg2
_symmetry_space_group_name_H-M 'P 1'
_symmetry_Int_Tables_number 1
_symmetry_space_group_name_Hall 'P 1'
_cell_length_a 4.593
_cell_length_b 9.592
_cell_length_c 6.020
_cell_angle_alpha 90.00
_cell_angle_beta 90.00
_cell_angle_gamma 90.00
loop_
_atom_site_label
_atom_site_type_symbol
_atom_site_fract_x
_atom_site_fract_y
_atom_site_fract_z
Mg1 Mg 0.000 0.164 0.000
Mg2 Mg 0.000 0.836 0.500
Cd1 Cd 0.000 0.493 0.450
Cd2 Cd 0.000 0.507 0.950
Cd3 Cd 0.500 0.329 0.710
Cd4 Cd 0.500 0.671 0.210
Ga1 Ga 0.500 0.001 0.250
Ga2 Ga 0.500 0.999 0.750
Hg1 Hg 0.000 0.148 0.505
Hg2 Hg 0.000 0.852 0.005
Hg3 Hg 0.500 0.327 0.203
Hg4 Hg 0.500 0.673 0.703
# Formation energy in eV per atom: -0.03



# 9
# Cu5Ni2Rh PBE relaxed
data_Cu5Ni2Rh
_symmetry_space_group_name_H-M 'P 1'
_symmetry_Int_Tables_number 1
_symmetry_space_group_name_Hall 'P 1'
_cell_length_a 4.472
_cell_length_b 4.472
_cell_length_c 7.239
_cell_angle_alpha 114.00
_cell_angle_beta 114.00
_cell_angle_gamma 47.75
loop_
_atom_site_label
_atom_site_type_symbol
_atom_site_fract_x
_atom_site_fract_y
_atom_site_fract_z
Cu1 Cu 0.000 0.000 0.000
Cu2 Cu 0.246 0.246 0.369
Cu3 Cu 0.254 0.254 0.880
Cu4 Cu 0.746 0.746 0.120
Cu5 Cu 0.754 0.754 0.631
Ni1 Ni 0.499 0.499 0.248
Ni2 Ni 0.501 0.501 0.752
Rh1 Rh 0.000 0.000 0.500
# Relative energy among the computed polymorphs in meV/atom: 14
# Formation energy in eV per atom: 0.05



# 10
# ThZrSi2Ir2 PBE relaxed
data_ThZrSi2Ir2
_symmetry_space_group_name_H-M 'P 1'
_symmetry_Int_Tables_number 1
_symmetry_space_group_name_Hall 'P 1'
_cell_length_a 4.272
_cell_length_b 4.272
_cell_length_c 7.124
_cell_angle_alpha 90.00
_cell_angle_beta 90.00
_cell_angle_gamma 120.00
loop_
_atom_site_label
_atom_site_type_symbol
_atom_site_fract_x
_atom_site_fract_y
_atom_site_fract_z
Th1 Th 0.000 0.000 0.000
Zr1 Zr 0.000 0.000 0.500
Si1 Si 0.333 0.667 0.293
Si2 Si 0.667 0.333 0.707
Ir1 Ir 0.333 0.667 0.710
Ir2 Ir 0.667 0.333 0.290
# Formation energy without anion corrections in eV per atom: -0.981



# 11
# La5Pm5Nd PBE relaxed
data_La5Pm5Nd
_symmetry_space_group_name_H-M 'P 1'
_symmetry_Int_Tables_number 1
_symmetry_space_group_name_Hall 'P 1'
_cell_length_a 6.299
_cell_length_b 6.299
_cell_length_c 11.501
_cell_angle_alpha 90.00
_cell_angle_beta 90.00
_cell_angle_gamma 120.00
loop_
_atom_site_label
_atom_site_type_symbol
_atom_site_fract_x
_atom_site_fract_y
_atom_site_fract_z
La1 La 0.000 0.000 0.232
La2 La 0.000 0.000 0.768
La3 La 0.343 0.172 0.000
La4 La 0.828 0.172 0.000
La5 La 0.828 0.657 0.000
Pm1 Pm 0.000 0.000 0.500
Pm2 Pm 0.333 0.667 0.177
Pm3 Pm 0.333 0.667 0.823
Pm4 Pm 0.667 0.333 0.335
Pm5 Pm 0.667 0.333 0.665
Nd1 Nd 0.333 0.667 0.500
# Relative energy among the computed polymorphs in meV/atom: 136
# Formation energy in eV per atom: 0.26



# 12
# LaDyInAg PBE relaxed
data_LaDyInAg
_symmetry_space_group_name_H-M 'P 1'
_symmetry_Int_Tables_number 1
_symmetry_space_group_name_Hall 'P 1'
_cell_length_a 3.702
_cell_length_b 3.702
_cell_length_c 7.979
_cell_angle_alpha 90.00
_cell_angle_beta 90.00
_cell_angle_gamma 90.00
loop_
_atom_site_label
_atom_site_type_symbol
_atom_site_fract_x
_atom_site_fract_y
_atom_site_fract_z
La1 La 0.000 0.000 0.000
Dy1 Dy 0.000 0.000 0.524
In1 In 0.500 0.500 0.275
Ag1 Ag 0.500 0.500 0.726
# Relative energy among the computed polymorphs in meV/atom: 0
# Formation energy in eV per atom: -0.40



# 13
# ReHg2Pb PBE relaxed
data_ReHg2Pb
_symmetry_space_group_name_H-M 'P 1'
_symmetry_Int_Tables_number 1
_symmetry_space_group_name_Hall 'P 1'
_cell_length_a 4.225
_cell_length_b 4.225
_cell_length_c 4.866
_cell_angle_alpha 90.00
_cell_angle_beta 90.00
_cell_angle_gamma 90.00
loop_
_atom_site_label
_atom_site_type_symbol
_atom_site_fract_x
_atom_site_fract_y
_atom_site_fract_z
Re1 Re 0.000 0.000 0.000
Hg1 Hg 0.000 0.500 0.500
Hg2 Hg 0.500 0.000 0.500
Pb1 Pb 0.500 0.500 0.000
# Formation energy in eV per atom: 0.99



# 14
# GaFeSeN2 PBE relaxed
data_GaFeSeN2
_symmetry_space_group_name_H-M 'P 1'
_symmetry_Int_Tables_number 1
_symmetry_space_group_name_Hall 'P 1'
_cell_length_a 3.770
_cell_length_b 3.770
_cell_length_c 5.655
_cell_angle_alpha 90.00
_cell_angle_beta 90.00
_cell_angle_gamma 90.00
loop_
_atom_site_label
_atom_site_type_symbol
_atom_site_fract_x
_atom_site_fract_y
_atom_site_fract_z
Ga1 Ga 0.000 0.000 0.000
Fe1 Fe 0.500 0.500 0.500
Se1 Se 0.000 0.000 0.500
N1 N 0.000 0.500 0.000
N2 N 0.500 0.000 0.000
# Relative energy among the computed polymorphs in meV/atom: 636
# Formation energy without anion corrections in eV per atom: 1.301



# 15
# ScNiW2 PBE relaxed
data_ScNiW2
_symmetry_space_group_name_H-M 'P 1'
_symmetry_Int_Tables_number 1
_symmetry_space_group_name_Hall 'P 1'
_cell_length_a 10.403
_cell_length_b 10.403
_cell_length_c 10.403
_cell_angle_alpha 159.56
_cell_angle_beta 159.56
_cell_angle_gamma 29.06
loop_
_atom_site_label
_atom_site_type_symbol
_atom_site_fract_x
_atom_site_fract_y
_atom_site_fract_z
Sc1 Sc 0.000 0.000 0.000
Sc2 Sc 0.750 0.250 0.500
Ni1 Ni 0.250 0.750 0.500
Ni2 Ni 0.500 0.500 0.000
W1 W 0.125 0.625 0.000
W2 W 0.375 0.375 0.500
W3 W 0.625 0.125 0.000
W4 W 0.875 0.875 0.500
# Relative energy among the computed polymorphs in meV/atom: 461
# Formation energy in eV per atom: 0.52



# 16
# MgNpTl2 PBE relaxed
data_MgNpTl2
_symmetry_space_group_name_H-M 'P 1'
_symmetry_Int_Tables_number 1
_symmetry_space_group_name_Hall 'P 1'
_cell_length_a 3.256
_cell_length_b 3.256
_cell_length_c 9.417
_cell_angle_alpha 90.00
_cell_angle_beta 90.00
_cell_angle_gamma 90.00
loop_
_atom_site_label
_atom_site_type_symbol
_atom_site_fract_x
_atom_site_fract_y
_atom_site_fract_z
Mg1 Mg 0.000 0.000 0.000
Np1 Np 0.000 0.000 0.500
Tl1 Tl 0.500 0.500 0.235
Tl2 Tl 0.500 0.500 0.765
# Formation energy in eV per atom: 0.19



# 17
# Tl2ZnN PBE relaxed
data_Tl2ZnN
_symmetry_space_group_name_H-M 'P 1'
_symmetry_Int_Tables_number 1
_symmetry_space_group_name_Hall 'P 1'
_cell_length_a 4.867
_cell_length_b 4.867
_cell_length_c 4.867
_cell_angle_alpha 60.00
_cell_angle_beta 60.00
_cell_angle_gamma 60.00
loop_
_atom_site_label
_atom_site_type_symbol
_atom_site_fract_x
_atom_site_fract_y
_atom_site_fract_z
Tl1 Tl 0.250 0.250 0.250
Tl2 Tl 0.750 0.750 0.750
Zn1 Zn 0.000 0.000 0.000
N1 N 0.500 0.500 0.500
# Relative energy among the computed polymorphs in meV/atom: 347
# Formation energy without anion corrections in eV per atom: 1.012



# 18
# Tb3Al2Ga2 PBE relaxed
data_Tb3Al2Ga2
_symmetry_space_group_name_H-M 'P 1'
_symmetry_Int_Tables_number 1
_symmetry_space_group_name_Hall 'P 1'
_cell_length_a 9.772
_cell_length_b 9.772
_cell_length_c 9.772
_cell_angle_alpha 155.13
_cell_angle_beta 154.96
_cell_angle_gamma 35.58
loop_
_atom_site_label
_atom_site_type_symbol
_atom_site_fract_x
_atom_site_fract_y
_atom_site_fract_z
Tb1 Tb 0.000 0.000 0.000
Tb2 Tb 0.314 0.814 0.500
Tb3 Tb 0.686 0.186 0.500
Al1 Al 0.141 0.641 0.500
Al2 Al 0.859 0.359 0.500
Ga1 Ga 0.434 0.434 0.000
Ga2 Ga 0.566 0.566 0.000
# Formation energy in eV per atom: -0.51



# 19
# Pr4NiSb PBE relaxed
data_Pr4NiSb
_symmetry_space_group_name_H-M 'P 1'
_symmetry_Int_Tables_number 1
_symmetry_space_group_name_Hall 'P 1'
_cell_length_a 10.666
_cell_length_b 10.666
_cell_length_c 6.555
_cell_angle_alpha 90.00
_cell_angle_beta 90.00
_cell_angle_gamma 150.05
loop_
_atom_site_label
_atom_site_type_symbol
_atom_site_fract_x
_atom_site_fract_y
_atom_site_fract_z
Pr1 Pr 0.047 0.953 0.750
Pr2 Pr 0.199 0.801 0.502
Pr3 Pr 0.199 0.801 0.998
Pr4 Pr 0.400 0.600 0.750
Pr5 Pr 0.600 0.400 0.250
Pr6 Pr 0.801 0.199 0.002
Pr7 Pr 0.801 0.199 0.498
Pr8 Pr 0.953 0.047 0.250
Ni1 Ni 0.084 0.916 0.250
Ni2 Ni 0.916 0.084 0.750
Sb1 Sb 0.351 0.649 0.250
Sb2 Sb 0.649 0.351 0.750
# Formation energy without anion corrections in eV per atom: -0.368



# 20
# TiFeH4 PBE relaxed
data_TiFeH4
_symmetry_space_group_name_H-M 'P 1'
_symmetry_Int_Tables_number 1
_symmetry_space_group_name_Hall 'P 1'
_cell_length_a 4.438
_cell_length_b 4.438
_cell_length_c 5.142
_cell_angle_alpha 102.88
_cell_angle_beta 102.88
_cell_angle_gamma 116.33
loop_
_atom_site_label
_atom_site_type_symbol
_atom_site_fract_x
_atom_site_fract_y
_atom_site_fract_z
Ti1 Ti 0.120 0.880 0.750
Ti2 Ti 0.880 0.120 0.250
Fe1 Fe 0.456 0.544 0.750
Fe2 Fe 0.544 0.456 0.250
H1 H 0.038 0.248 0.659
H2 H 0.248 0.038 0.159
H3 H 0.340 0.614 0.448
H4 H 0.386 0.660 0.052
H5 H 0.614 0.340 0.948
H6 H 0.660 0.386 0.552
H7 H 0.752 0.962 0.841
H8 H 0.962 0.752 0.341
# Total energy in eV/atom: -5.120



Number 1: V 14.29 A^3/atom. Number 2: V 18.61 A^3/atom. Number 3: V 31.79 A^3/atom. Number 4: V 24.31 A^3/atom. Number 5: V 26.63 A^3/atom. Number 6: V 27.68 A^3/atom. Number 7: V 23.55 A^3/atom. Number 8: V 22.10 A^3/atom. Number 9: V 12.00 A^3/atom. Number 10: V 18.76 A^3/atom. Number 11: V 35.92 A^3/atom. Number 12: V 27.34 A^3/atom. Number 13: V 21.72 A^3/atom. Number 14: V 16.07 A^3/atom. Number 15: V 17.15 A^3/atom. Number 16: V 24.97 A^3/atom. Number 17: V 20.37 A^3/atom. Number 18: V 23.70 A^3/atom. Number 19: V 31.02 A^3/atom. Number 20: V 6.86 A^3/atom.